w) Below is a relaxed structure of Cr2GeW2, with properties calculated at the PBE-GGA level.

a = 7.1084 Å, b = 7.1084 Å, c = 2.9549 Å
α = 90.00°, β = 90.00°, γ = 90.00°
Space group P4/mbm (No. 127)
Unique sites:
Cr (0.1375, 0.3625, 0.0000) [4 per cell]
Ge (0.0000, 0.0000, 0.0000) [2 per cell]
W (0.1580, 0.6580, 0.5000) [4 per cell]

x) Below is a relaxed structure of Cr2GeW2, with properties calculated at the PBE-GGA level.

a = 4.0160 Å, b = 4.0160 Å, c = 10.2464 Å
α = 90.00°, β = 90.00°, γ = 90.00°
Space group I4/mmm (No. 139)
Unique sites:
Cr (0.0000, 0.0000, 0.1106) [4 per cell]
Ge (0.0000, 0.0000, 0.5000) [2 per cell]
W (0.0000, 0.5000, 0.2500) [4 per cell]

Which of them is most stable? Easy: w).